First-principles (GGA-PBE) data for a geometry-optimized Tl4Pb structure, as listed in the Alexandria database.

## Properties
Formation enthalpy at 0 K ... 23.7 meV/atom
Polymorph energy (0 for the lowest one) ... 16 meV/atom

Cell and atoms, written as CIF:
```
data_Tl4Pb
_cell_length_a 3.4970
_cell_length_b 3.4970
_cell_length_c 15.0281
_cell_angle_alpha 90.00
_cell_angle_beta 90.00
_cell_angle_gamma 120.00
_space_group_name_H-M_alt 'P -3 m 1'
_space_group_IT_number 164
_space_group_name_Hall '-P 3 2"'
loop_
_atom_site_label
_atom_site_fract_x
_atom_site_fract_y
_atom_site_fract_z
Tl1 0.3333 0.6667 0.1919
Tl2 0.3333 0.6667 0.4055
Pb1 0.0000 0.0000 0.0000
```

---

First-principles (GGA-PBE) data for a geometry-optimized Tl7Pb3 structure, as listed in the Alexandria database.

## Properties
Formation enthalpy at 0 K ... 0.2 meV/atom
Polymorph energy (0 for the lowest one) ... 0 meV/atom

Cell and atoms, written as CIF:
```
data_Tl7Pb3
_cell_length_a 17.9965
_cell_length_b 5.0613
_cell_length_c 6.9436
_cell_angle_alpha 90.00
_cell_angle_beta 102.51
_cell_angle_gamma 90.00
_space_group_name_H-M_alt 'C 1 2/m 1'
_space_group_IT_number 12
_space_group_name_Hall '-C 2y'
loop_
_atom_site_label
_atom_site_fract_x
_atom_site_fract_y
_atom_site_fract_z
Tl1 0.0000 0.0000 0.0000
Tl2 0.0986 0.5000 0.2970
Tl3 0.0992 0.5000 0.7985
Tl4 0.1987 0.0000 0.5948
Pb1 0.0000 0.0000 0.5000
Pb2 0.2043 0.0000 0.0969
```

---

First-principles (GGA-PBE) data for a geometry-optimized Tl3Pb7 structure, as listed in the Alexandria database.

## Properties
Formation enthalpy at 0 K ... 84.6 meV/atom
Polymorph energy (0 for the lowest one) ... 54 meV/atom

Cell and atoms, written as CIF:
```
data_Tl3Pb7
_cell_length_a 10.9260
_cell_length_b 10.9260
_cell_length_c 6.2607
_cell_angle_alpha 90.00
_cell_angle_beta 90.00
_cell_angle_gamma 120.00
_space_group_name_H-M_alt 'P 63 m c'
_space_group_IT_number 186
_space_group_name_Hall 'P 6c -2c'
loop_
_atom_site_label
_atom_site_fract_x
_atom_site_fract_y
_atom_site_fract_z
Tl1 0.2016 0.4032 0.0000
Pb1 0.0579 0.5289 0.6434
Pb2 0.1061 0.2123 0.5120
Pb3 0.3333 0.6667 0.3371
```

---

First-principles (GGA-PBE) data for a geometry-optimized TmTl2Pb structure, as listed in the Alexandria database.

## Properties
Formation enthalpy at 0 K ... 19.4 meV/atom

Cell and atoms, written as CIF:
```
data_TmTl2Pb
_cell_length_a 5.0203
_cell_length_b 5.0203
_cell_length_c 17.2656
_cell_angle_alpha 90.00
_cell_angle_beta 90.00
_cell_angle_gamma 120.00
_space_group_name_H-M_alt 'R 3 m'
_space_group_IT_number 160
_space_group_name_Hall 'R 3 -2"'
loop_
_atom_site_label
_atom_site_fract_x
_atom_site_fract_y
_atom_site_fract_z
Tm1 0.0000 0.0000 0.0000
Tl1 0.0000 0.0000 0.3864
Tl2 0.0000 0.0000 0.5830
Pb1 0.0000 0.0000 0.8097
```

---

First-principles (GGA-PBE) data for a geometry-optimized Tm2Tl2Pb structure, as listed in the Alexandria database.

## Properties
Formation enthalpy at 0 K ... -220.9 meV/atom
Polymorph energy (0 for the lowest one) ... 0 meV/atom

Cell and atoms, written as CIF:
```
data_Tm2Tl2Pb
_cell_length_a 8.7893
_cell_length_b 8.7893
_cell_length_c 3.6436
_cell_angle_alpha 90.00
_cell_angle_beta 90.00
_cell_angle_gamma 90.00
_space_group_name_H-M_alt 'P 4/m b m'
_space_group_IT_number 127
_space_group_name_Hall '-P 4 2ab'
loop_
_atom_site_label
_atom_site_fract_x
_atom_site_fract_y
_atom_site_fract_z
Tm1 0.1748 0.3252 0.0000
Tl1 0.1257 0.6257 0.5000
Pb1 0.0000 0.0000 0.5000
```

---

First-principles (GGA-PBE) data for a geometry-optimized Tm3TlPb12 structure, as listed in the Alexandria database.

## Properties
Formation enthalpy at 0 K ... -161.4 meV/atom

Cell and atoms, written as CIF:
```
data_Tm3TlPb12
_cell_length_a 4.8513
_cell_length_b 4.8513
_cell_length_c 20.0188
_cell_angle_alpha 90.00
_cell_angle_beta 90.00
_cell_angle_gamma 90.00
_space_group_name_H-M_alt 'P 4/m m m'
_space_group_IT_number 123
_space_group_name_Hall '-P 4 2'
loop_
_atom_site_label
_atom_site_fract_x
_atom_site_fract_y
_atom_site_fract_z
Tm1 0.0000 0.0000 0.0000
Tm2 0.0000 0.0000 0.2379
Tl1 0.0000 0.0000 0.5000
Pb1 0.0000 0.5000 0.1214
Pb2 0.0000 0.5000 0.3697
Pb3 0.5000 0.5000 0.0000
Pb4 0.5000 0.5000 0.2474
Pb5 0.5000 0.5000 0.5000
```